(1)
# AcCdGaAg (PBE, relaxed)
# Symmetry: F-43m (216)
# Formation energy (kJ/mol of formula units): -114
data_AcCdGaAg
_chemical_formula_sum 'Ac1 Cd1 Ga1 Ag1'
_space_group_name_H-M_alt 'P 1'
_space_group_IT_number 1
_space_group_name_Hall 'P 1'
_cell_length_a 5.2198
_cell_length_b 5.2198
_cell_length_c 5.2198
_cell_angle_alpha 60.00
_cell_angle_beta 60.00
_cell_angle_gamma 60.00
loop_
_atom_site_label
_atom_site_fract_x
_atom_site_fract_y
_atom_site_fract_z
Cd1 0.7500 0.7500 0.7500
Ag1 0.5000 0.5000 0.5000
Ac1 0.2500 0.2500 0.2500
Ga1 0.0000 0.0000 0.0000

=====

(2)
# Ac3CdGa2Ag6 (PBE, relaxed)
# Symmetry: P-3m1 (164)
# Formation energy (kJ/mol of formula units): -166
data_Ac3CdGa2Ag6
_chemical_formula_sum 'Ac3 Cd1 Ga2 Ag6'
_space_group_name_H-M_alt 'P 1'
_space_group_IT_number 1
_space_group_name_Hall 'P 1'
_cell_length_a 6.3825
_cell_length_b 6.3825
_cell_length_c 8.9308
_cell_angle_alpha 90.00
_cell_angle_beta 90.00
_cell_angle_gamma 120.00
loop_
_atom_site_label
_atom_site_fract_x
_atom_site_fract_y
_atom_site_fract_z
Ga1 0.6667 0.3333 0.9853
Ga2 0.3333 0.6667 0.0147
Ag1 0.1848 0.8152 0.2747
Ag2 0.8152 0.6303 0.7253
Ag3 0.3697 0.1848 0.7253
Ag4 0.8152 0.1848 0.7253
Ag5 0.1848 0.3697 0.2747
Ag6 0.6303 0.8152 0.2747
Ac1 0.0000 0.0000 0.0000
Ac2 0.3333 0.6667 0.6297
Ac3 0.6667 0.3333 0.3703
Cd1 0.0000 0.0000 0.5000

=====

(3)
# AcCd4GaAg2 (PBE, relaxed)
# Symmetry: R-3m (166)
# Formation energy (kJ/mol of formula units): -90
data_AcCd4GaAg2
_chemical_formula_sum 'Ac1 Cd4 Ga1 Ag2'
_space_group_name_H-M_alt 'P 1'
_space_group_IT_number 1
_space_group_name_Hall 'P 1'
_cell_length_a 4.7779
_cell_length_b 4.7779
_cell_length_c 10.1832
_cell_angle_alpha 76.43
_cell_angle_beta 76.43
_cell_angle_gamma 60.00
loop_
_atom_site_label
_atom_site_fract_x
_atom_site_fract_y
_atom_site_fract_z
Ga1 0.5000 0.5000 0.5000
Ac1 0.0000 0.0000 0.0000
Ag1 0.7525 0.7525 0.7424
Ag2 0.2475 0.2475 0.2576
Cd1 0.4014 0.4014 0.7958
Cd2 0.5986 0.5986 0.2042
Cd3 0.1271 0.1271 0.6187
Cd4 0.8729 0.8729 0.3813

=====

(4)
# AcGdCdAg (PBE, relaxed)
# Symmetry: F-43m (216)
# Formation energy (kJ/mol of formula units): -99
data_AcGdCdAg
_chemical_formula_sum 'Ac1 Gd1 Cd1 Ag1'
_space_group_name_H-M_alt 'P 1'
_space_group_IT_number 1
_space_group_name_Hall 'P 1'
_cell_length_a 5.4963
_cell_length_b 5.4963
_cell_length_c 5.4963
_cell_angle_alpha 60.00
_cell_angle_beta 60.00
_cell_angle_gamma 60.00
loop_
_atom_site_label
_atom_site_fract_x
_atom_site_fract_y
_atom_site_fract_z
Ac1 0.0000 0.0000 0.0000
Ag1 0.2500 0.2500 0.2500
Cd1 0.7500 0.7500 0.7500
Gd1 0.5000 0.5000 0.5000

=====

> formation energy of number 1 (AcCdGaAg)?

-114 kJ/mol of formula units

=====

Copy entry 2 word for word.
# Ac3CdGa2Ag6 (PBE, relaxed)
# Symmetry: P-3m1 (164)
# Formation energy (kJ/mol of formula units): -166
data_Ac3CdGa2Ag6
_chemical_formula_sum 'Ac3 Cd1 Ga2 Ag6'
_space_group_name_H-M_alt 'P 1'
_space_group_IT_number 1
_space_group_name_Hall 'P 1'
_cell_length_a 6.3825
_cell_length_b 6.3825
_cell_length_c 8.9308
_cell_angle_alpha 90.00
_cell_angle_beta 90.00
_cell_angle_gamma 120.00
loop_
_atom_site_label
_atom_site_fract_x
_atom_site_fract_y
_atom_site_fract_z
Ga1 0.6667 0.3333 0.9853
Ga2 0.3333 0.6667 0.0147
Ag1 0.1848 0.8152 0.2747
Ag2 0.8152 0.6303 0.7253
Ag3 0.3697 0.1848 0.7253
Ag4 0.8152 0.1848 0.7253
Ag5 0.1848 0.3697 0.2747
Ag6 0.6303 0.8152 0.2747
Ac1 0.0000 0.0000 0.0000
Ac2 0.3333 0.6667 0.6297
Ac3 0.6667 0.3333 0.3703
Cd1 0.0000 0.0000 0.5000